# 1
Material: KDyO2
Method: DFT, PBE-GGA
State: optimized geometry

## Properties
Its crystal system is trigonal.

Structure (POSCAR):
```
KDyO2
1.0
1.723 0.995 6.189
-1.723 0.995 6.189
0.000 -1.989 6.189
K Dy O
1 1 2
direct
0.000 0.000 0.000
0.500 0.500 0.500
0.229 0.229 0.229
0.771 0.771 0.771
```

=====

# 2
Material: Tm3Nb3W2N12
Method: DFT, PBE-GGA
State: optimized geometry

## Properties
Its crystal system is cubic.

Structure (POSCAR):
```
Tm3Nb3W2N12
1.0
-6.363 6.363 6.363
6.363 -6.363 6.363
6.363 6.363 -6.363
Tm Nb W N
12 12 8 48
direct
0.125 0.250 0.375
0.125 0.375 0.750
0.250 0.375 0.125
0.250 0.875 0.625
0.375 0.125 0.250
0.375 0.750 0.125
0.625 0.250 0.875
0.625 0.875 0.750
0.750 0.125 0.375
0.750 0.625 0.875
0.875 0.625 0.250
0.875 0.750 0.625
0.125 0.750 0.875
0.125 0.875 0.250
0.250 0.125 0.875
0.250 0.625 0.375
0.375 0.250 0.625
0.375 0.625 0.750
0.625 0.375 0.250
0.625 0.750 0.375
0.750 0.375 0.625
0.750 0.875 0.125
0.875 0.125 0.750
0.875 0.250 0.125
0.000 0.000 0.000
0.000 0.000 0.500
0.000 0.500 0.000
0.000 0.500 0.500
0.500 0.000 0.000
0.500 0.000 0.500
0.500 0.500 0.000
0.500 0.500 0.500
0.027 0.202 0.119
0.027 0.325 0.909
0.083 0.702 0.675
0.083 0.881 0.409
0.091 0.619 0.417
0.091 0.973 0.675
0.119 0.027 0.202
0.119 0.591 0.917
0.175 0.202 0.583
0.175 0.473 0.591
0.202 0.119 0.027
0.202 0.583 0.175
0.298 0.325 0.917
0.298 0.473 0.381
0.325 0.909 0.027
0.325 0.917 0.298
0.381 0.298 0.473
0.381 0.583 0.909
0.409 0.083 0.881
0.409 0.825 0.527
0.417 0.091 0.619
0.417 0.825 0.798
0.473 0.381 0.298
0.473 0.591 0.175
0.527 0.409 0.825
0.527 0.619 0.702
0.583 0.175 0.202
0.583 0.909 0.381
0.591 0.175 0.473
0.591 0.917 0.119
0.619 0.417 0.091
0.619 0.702 0.527
0.675 0.083 0.702
0.675 0.091 0.973
0.702 0.527 0.619
0.702 0.675 0.083
0.798 0.417 0.825
0.798 0.881 0.973
0.825 0.527 0.409
0.825 0.798 0.417
0.881 0.409 0.083
0.881 0.973 0.798
0.909 0.027 0.325
0.909 0.381 0.583
0.917 0.119 0.591
0.917 0.298 0.325
0.973 0.675 0.091
0.973 0.798 0.881
```

=====

| no. | calculated total energy (eV for the cell shown) |
| --- | --- |
| 1 | -26.66 |
| 2 | -749.91 |